1.
Density functional theory data (GGA-PBE) for PmEr7Hg4 after structural relaxation.

Cell: 7.800 7.800 9.669 Å, 119.76 119.76 42.51°
Element x y z (fractional)
Pm1 0.000 0.000 0.000
Er1 0.067 0.067 0.407
Er2 0.208 0.208 0.883
Er3 0.269 0.269 0.317
Er4 0.500 0.500 0.000
Er5 0.731 0.731 0.683
Er6 0.792 0.792 0.117
Er7 0.933 0.933 0.593
Hg1 0.311 0.311 0.662
Hg2 0.453 0.453 0.274
Hg3 0.547 0.547 0.726
Hg4 0.689 0.689 0.338

Output
For the calculated density, the calculation gives 10.45 Mg/m³. The value obtained for the total magnetic moment is 0.0 μB per formula unit. For the total energy, the calculation gives -3.25 eV/atom.

***

2.
Density functional theory data (GGA-PBE) for Pm3ErHg2 after structural relaxation.

Cell: 5.253 9.497 7.041 Å, 90.00 90.00 90.00°
Element x y z (fractional)
Pm1 0.000 0.052 0.000
Pm2 0.000 0.330 0.334
Pm3 0.000 0.670 0.834
Pm4 0.000 0.948 0.500
Pm5 0.500 0.177 0.690
Pm6 0.500 0.823 0.190
Er1 0.500 0.448 0.027
Er2 0.500 0.552 0.527
Hg1 0.000 0.350 0.784
Hg2 0.000 0.650 0.284
Hg3 0.500 0.153 0.243
Hg4 0.500 0.847 0.743

Output
For the calculated density, the calculation gives 9.49 Mg/m³. The value obtained for the total magnetic moment is 0.0 μB per formula unit. For the total energy, the calculation gives -3.57 eV/atom.

***

3.
Density functional theory data (GGA-PBE) for Pm2ErHg5 after structural relaxation.

Cell: 5.205 5.205 15.053 Å, 90.00 90.00 90.00°
Element x y z (fractional)
Pm1 0.000 0.000 0.237
Pm2 0.000 0.000 0.763
Pm3 0.500 0.500 0.263
Pm4 0.500 0.500 0.737
Er1 0.000 0.000 0.500
Er2 0.500 0.500 0.000
Hg1 0.000 0.000 0.000
Hg2 0.000 0.500 0.118
Hg3 0.000 0.500 0.382
Hg4 0.000 0.500 0.618
Hg5 0.000 0.500 0.882
Hg6 0.500 0.000 0.118
Hg7 0.500 0.000 0.382
Hg8 0.500 0.000 0.618
Hg9 0.500 0.000 0.882
Hg10 0.500 0.500 0.500

Output
For the calculated density, the calculation gives 11.89 Mg/m³. The value obtained for the total magnetic moment is 0.2 μB per formula unit. For the total energy, the calculation gives -2.35 eV/atom.